{
  "formula": "CdSi2Ni",
  "functional": "GGA-PBEsol",
  "state": "optimized geometry",
  "total_magnetization_mub_per_cell": 0.00,
  "raw_formation_energy_mev_per_atom": 302,
  "cell": [[2.929, 0.012, 0.000], [-0.144, 4.354, 0.000], [-1.393, -2.183, 4.664]],
  "species": ["Cd", "Ni", "Si", "Si"],
  "fractional_positions": [[0.000, 0.000, 0.000], [0.500, 0.500, 0.000], [0.000, 0.000, 0.500], [0.500, 0.500, 0.500]]
}